Compound: AgAuNF2
Source: Alexandria
Functional: PBE
Structure: relaxed

The raw formation energy is 472 meV per atom. As for the total magnetization: 0.347 μB/atom. For the total energy, the calculation gives -3.17 eV per atom. As for the energy above the most stable polymorph in this dataset: 0.2915 eV/atom.

The space group is P4/mmm (No. 123) and the conventional cell measures 4.4055, 4.4055 and 4.0333 Å, with angles of 90.00, 90.00 and 90.00 degrees. The distinct sites, in fractional coordinates, are Ag at (0.0000, 0.0000, 0.0000), Au at (0.5000, 0.5000, 0.5000), N at (0.0000, 0.0000, 0.5000) and F at (0.0000, 0.5000, 0.0000).

Compound: AgAuNF2
Source: Alexandria
Functional: PBE
Structure: relaxed

The raw formation energy is 181 meV per atom. As for the total magnetization: 0.000 μB/atom. For the total energy, the calculation gives -3.46 eV per atom. As for the energy above the most stable polymorph in this dataset: 0.0000 eV/atom.

The space group is P4/mmm (No. 123) and the conventional cell measures 4.6740, 4.6740 and 3.7463 Å, with angles of 90.00, 90.00 and 90.00 degrees. The distinct sites, in fractional coordinates, are Ag at (0.0000, 0.0000, 0.0000), Au at (0.5000, 0.5000, 0.5000), N at (0.5000, 0.5000, 0.0000) and F at (0.0000, 0.5000, 0.5000).

> Which value of raw formation energy does entry 2 give?

181 meV per atom

> Number 2 is which compound?

AgAuNF2